The following is a DFT calculation (PBE-GGA) of crystalline CaZn2H2 at its relaxed geometry.

Results
SG: I4/mmm (139)
ΔE to the lowest computed polymorph, meV/atom: 239.4
E_tot, eV/atom: -2.086
Crystal system: tetragonal
Spin magnetization, μB/f.u.: 0.0

Geometry as POSCAR:
```
CaZn2H2
1.0
4.019 0.000 0.000
0.000 4.019 0.000
2.009 2.009 4.305
H Zn Ca
2 2 1
Direct
0.750 0.250 0.500
0.250 0.750 0.500
0.347 0.347 0.306
0.653 0.653 0.694
0.000 0.000 0.000
```

The following is a DFT calculation (PBE-GGA) of crystalline CaZn2H2 at its relaxed geometry.

Results
SG: P4/mbm (127)
ΔE to the lowest computed polymorph, meV/atom: 0.0
E_tot, eV/atom: -2.326
Crystal system: tetragonal
Spin magnetization, μB/f.u.: 0.0

Geometry as POSCAR:
```
CaZn2H2
1.0
5.830 0.000 0.000
0.000 5.830 0.000
0.000 0.000 4.174
H Zn Ca
4 4 2
Direct
0.158 0.658 0.000
0.658 0.842 0.000
0.842 0.342 0.000
0.342 0.158 0.000
0.159 0.659 0.500
0.659 0.841 0.500
0.841 0.341 0.500
0.341 0.159 0.500
0.000 0.000 0.000
0.500 0.500 0.000
```

The following is a DFT calculation (PBE-GGA) of crystalline CaZn2H at its relaxed geometry.

Results
SG: P4/nmm (129)
ΔE to the lowest computed polymorph, meV/atom: 0.0
E_tot, eV/atom: -2.271
Crystal system: tetragonal
Spin magnetization, μB/f.u.: 0.0

Geometry as POSCAR:
```
CaZn2H
1.0
-0.081 -2.504 3.244
-1.513 -2.997 -2.351
7.365 -2.406 -1.674
Ca Zn H
2 4 2
Direct
0.000 0.500 0.360
0.500 0.000 0.640
0.000 0.000 0.000
0.500 0.500 0.000
0.000 0.500 0.803
0.500 0.000 0.197
0.000 0.000 0.500
0.500 0.500 0.500
```

The following is a DFT calculation (PBE-GGA) of crystalline Ca2ZnH at its relaxed geometry.

Results
SG: R-3m (166)
ΔE to the lowest computed polymorph, meV/atom: 307.8
E_tot, eV/atom: -2.035
Crystal system: trigonal
Spin magnetization, μB/f.u.: 0.0

Geometry as POSCAR:
```
Ca2ZnH
1.0
3.648 0.000 0.000
1.824 3.159 0.000
1.824 1.053 9.036
H Zn Ca
1 1 2
Direct
0.500 0.500 0.500
0.000 0.000 0.000
0.113 0.113 0.660
0.887 0.887 0.340
```

The following is a DFT calculation (PBE-GGA) of crystalline CaZn2H at its relaxed geometry.

Results
SG: Cmcm (63)
ΔE to the lowest computed polymorph, meV/atom: 37.8
E_tot, eV/atom: -2.234
Crystal system: orthorhombic
Spin magnetization, μB/f.u.: 0.0

Geometry as POSCAR:
```
CaZn2H
1.0
-4.212 1.379 0.139
-0.708 -3.251 10.772
1.533 4.534 1.469
Ca Zn H
4 8 4
Direct
0.000 0.717 0.250
0.000 0.283 0.750
0.500 0.217 0.250
0.500 0.783 0.750
0.000 0.000 0.000
0.000 0.000 0.500
0.500 0.500 0.000
0.500 0.500 0.500
0.000 0.447 0.250
0.000 0.553 0.750
0.500 0.947 0.250
0.500 0.053 0.750
0.000 0.283 0.250
0.000 0.717 0.750
0.500 0.783 0.250
0.500 0.217 0.750
```

The following is a DFT calculation (PBE-GGA) of crystalline Ca2ZnH2 at its relaxed geometry.

Results
SG: P4/mbm (127)
ΔE to the lowest computed polymorph, meV/atom: 261.0
E_tot, eV/atom: -2.525
Crystal system: tetragonal
Spin magnetization, μB/f.u.: 0.0

Geometry as POSCAR:
```
Ca2ZnH2
1.0
7.132 0.000 0.000
0.000 7.132 0.000
0.000 0.000 3.246
H Zn Ca
4 2 4
Direct
0.374 0.874 0.000
0.874 0.626 0.000
0.626 0.126 0.000
0.126 0.374 0.000
0.000 0.000 0.000
0.500 0.500 0.000
0.180 0.680 0.500
0.680 0.820 0.500
0.820 0.320 0.500
0.320 0.180 0.500
```

The following is a DFT calculation (PBE-GGA) of crystalline Ca2ZnH at its relaxed geometry.

Results
SG: I-42d (122)
ΔE to the lowest computed polymorph, meV/atom: 0.0
E_tot, eV/atom: -2.343
Crystal system: tetragonal
Spin magnetization, μB/f.u.: 0.0

Geometry as POSCAR:
```
Ca2ZnH
1.0
-4.056 2.779 -4.821
-5.074 0.601 4.616
-3.264 5.265 0.863
H Zn Ca
2 2 4
Direct
0.500 0.500 0.000
0.250 0.750 0.500
0.000 0.000 0.000
0.750 0.250 0.500
0.538 0.125 0.250
0.212 0.625 0.250
0.375 0.462 0.750
0.875 0.788 0.750
```

The following is a DFT calculation (PBE-GGA) of crystalline CaZn2H at its relaxed geometry.

Results
SG: I-42d (122)
ΔE to the lowest computed polymorph, meV/atom: 423.2
E_tot, eV/atom: -1.848
Crystal system: tetragonal
Spin magnetization, μB/f.u.: 0.0

Geometry as POSCAR:
```
CaZn2H
1.0
-0.719 0.604 5.783
4.806 -3.217 0.934
4.339 2.102 3.288
H Zn Ca
2 4 2
Direct
0.500 0.500 0.000
0.250 0.750 0.500
0.372 0.125 0.250
0.378 0.625 0.250
0.375 0.628 0.750
0.875 0.622 0.750
0.000 0.000 0.000
0.750 0.250 0.500
```